Material: BPtS
Method: DFT, PBE
State: relaxed

Cell lengths 16.1836, 2.9508, 4.1866 Å; angles 90.00, 90.00, 90.00 degrees
Space group Pnma (No. 62)
Unique sites:
B (0.0889, 0.2500, 0.1595) x4
Pt (0.0399, 0.7500, 0.7454) x4
S (0.1498, 0.7500, 0.3206) x4

Formation energy from raw total energies (eV/atom): -0.082
Energy above the lowest structure with this stoichiometry (kJ/mol of formula units): 0.0